## a
An optimized crystal structure of CeDyInSn. Source: the Alexandria database, functional PBE.

Geometry as extended XYZ:
```
4
Lattice="4.461 0.000 0.000 0.000 4.923 0.000 0.000 0.000 4.959" Properties=species:S:1:pos:R:3 pbc="T T T"
Ce 0.000 0.000 0.000
Dy 0.000 2.462 2.480
In 2.230 0.000 2.480
Sn 2.230 2.462 0.000
```

Computed properties:
Magnetization = 1.1 μB/cell
Symmetry = Pmmm (47)

## b
An optimized crystal structure of CeDyInSn. Source: the Alexandria database, functional PBE.

Geometry as extended XYZ:
```
4
Lattice="0.000 3.814 3.814 3.814 0.000 3.814 3.814 3.814 0.000" Properties=species:S:1:pos:R:3 pbc="T T T"
Ce 0.000 0.000 0.000
Dy 3.814 3.814 3.814
In 5.720 5.720 5.720
Sn 1.907 1.907 1.907
```

Computed properties:
Magnetization = 1.1 μB/cell
Symmetry = F-43m (216)

Computed relative energies in units of meV/atom: a 0; b 37

## a
An optimized crystal structure of Ce2Dy2Ir3. Source: the Alexandria database, functional PBE.

Geometry as extended XYZ:
```
7
Lattice="5.309 -2.333 0.000 5.309 2.333 0.000 -1.497 0.000 7.121" Properties=species:S:1:pos:R:3 pbc="T T T"
Ce 0.830 0.000 2.562
Ce 8.291 0.000 4.559
Dy 3.725 0.000 0.576
Dy 5.396 0.000 6.545
Ir 0.000 0.000 0.000
Ir 0.968 0.000 5.107
Ir 8.153 0.000 2.013
```

Computed properties:
Magnetization = 0.6 μB/cell
Symmetry = C2/m (12)

## b
An optimized crystal structure of Ce2Dy2Ir3. Source: the Alexandria database, functional PBE.

Geometry as extended XYZ:
```
14
Lattice="-4.327 4.327 4.327 4.327 -4.327 4.327 4.327 4.327 -4.327" Properties=species:S:1:pos:R:3 pbc="T T T"
Ce 2.681 1.646 -1.646
Ce 1.646 -1.646 2.681
Ce 1.646 1.646 1.646
Ce -1.646 2.681 1.646
Dy 4.871 -0.544 0.544
Dy 0.544 4.871 -0.544
Dy -0.544 0.544 4.871
Dy 3.783 3.783 3.783
Ir 4.327 -2.164 3.204
Ir 3.204 4.327 -2.164
Ir 4.327 2.164 1.123
Ir 2.164 1.123 4.327
Ir 1.123 4.327 2.164
Ir -2.164 3.204 4.327
```

Computed properties:
Magnetization = 2.1 μB/cell
Symmetry = I2_13 (199)

Computed relative energies in units of meV/atom: a 79; b 0

## a
An optimized crystal structure of CeDyIrRu. Source: the Alexandria database, functional PBE.

Geometry as extended XYZ:
```
4
Lattice="3.495 0.000 0.000 0.000 3.495 0.000 0.000 0.000 6.716" Properties=species:S:1:pos:R:3 pbc="T T T"
Ce 0.000 0.000 0.000
Dy 0.000 0.000 3.368
Ir 1.747 1.747 5.098
Ru 1.747 1.747 1.584
```

Computed properties:
Magnetization = 0.0 μB/cell
Symmetry = P4mm (99)

## b
An optimized crystal structure of CeDyIrRu. Source: the Alexandria database, functional PBE.

Geometry as extended XYZ:
```
4
Lattice="0.000 3.448 3.448 3.448 0.000 3.448 3.448 3.448 0.000" Properties=species:S:1:pos:R:3 pbc="T T T"
Ce 0.000 0.000 0.000
Dy 3.448 3.448 3.448
Ir 5.172 5.172 5.172
Ru 1.724 1.724 1.724
```

Computed properties:
Magnetization = 0.1 μB/cell
Symmetry = F-43m (216)

Computed relative energies in units of meV/atom: a 0; b 18